Here is a relaxed structure of LiLa3Sn12 from Alexandria via LeMat-Bulk. Energies are from GGA-PBE.

a = 4.7555 Å, b = 4.7555 Å, c = 19.1890 Å
α = 90.00°, β = 90.00°, γ = 90.00°
Closest atoms and distances in Å follow each position.
Fractional positions:
Sn (0.5000, 0.0000, 0.8842)  8 Sn 3.25-3.41, 2 Li 3.25, 2 La 3.49
Sn (0.5000, 0.5000, 0.2429)  4 La 3.36, 8 Sn 3.41-3.45
La (0.0000, 0.0000, 0.7509)  12 Sn 3.36-3.49
Sn (0.5000, 0.0000, 0.3729)  4 La 3.36-3.41, 8 Sn 3.36-3.45
Sn (0.0000, 0.5000, 0.3729)  4 La 3.36-3.41, 8 Sn 3.36-3.45
Sn (0.5000, 0.5000, 0.0000)  8 Sn 3.25, 4 Li 3.36
Sn (0.5000, 0.0000, 0.1158)  2 Li 3.25, 8 Sn 3.25-3.41, 2 La 3.49
Sn (0.0000, 0.5000, 0.1158)  8 Sn 3.25-3.41, 2 Li 3.25, 2 La 3.49
Sn (0.5000, 0.5000, 0.7571)  4 La 3.36, 8 Sn 3.41-3.45
Li (0.0000, 0.0000, 0.0000)  12 Sn 3.25-3.36
Sn (0.5000, 0.0000, 0.6271)  4 La 3.36-3.41, 8 Sn 3.36-3.45
Sn (0.0000, 0.5000, 0.6271)  4 La 3.36-3.41, 8 Sn 3.36-3.45
La (0.0000, 0.0000, 0.5000)  12 Sn 3.36-3.41
Sn (0.5000, 0.5000, 0.5000)  4 La 3.36, 8 Sn 3.41
La (0.0000, 0.0000, 0.2491)  12 Sn 3.36-3.49
Sn (0.0000, 0.5000, 0.8842)  2 Li 3.25, 8 Sn 3.25-3.41, 2 La 3.49

Results
- Space group: P4/mmm
- Fermi-level density of states: 8.4 states/eV/cell
- DFT total energy: -4.507 eV per atom
- Size of the total moment: 0.000 μB/cell
- Formation energy from the elements: -0.4611 eV per atom


Here is a relaxed structure of Li4Zn3Ag from Alexandria via LeMat-Bulk. Energies are from GGA-PBE.

a = 4.4739 Å, b = 4.3775 Å, c = 7.0361 Å
α = 71.91°, β = 108.54°, γ = 90.00°
Closest atoms and distances in Å follow each position.
Fractional positions:
Li (0.7499, 0.7496, 0.4999)  4 Li 2.70-2.74, 4 Zn 2.71-2.75
Zn (0.8771, 0.1220, 0.7541)  2 Zn 2.68, 4 Li 2.71-2.75, 2 Ag 2.72
Ag (0.5000, 0.0000, 0.0000)  4 Li 2.69-2.70, 4 Zn 2.72
Li (0.3755, 0.6248, 0.7510)  2 Ag 2.69-2.70, 4 Li 2.70-2.74, 2 Zn 2.73
Zn (0.0000, 0.5000, 0.0000)  4 Zn 2.68, 4 Li 2.73
Zn (0.1229, 0.8780, 0.2459)  2 Zn 2.68, 4 Li 2.71-2.75, 2 Ag 2.72
Li (0.2501, 0.2504, 0.5001)  4 Li 2.70-2.74, 4 Zn 2.71-2.75
Li (0.6245, 0.3752, 0.2490)  2 Ag 2.69-2.70, 4 Li 2.70-2.74, 2 Zn 2.73

Results
- Space group: Immm
- Fermi-level density of states: 2.1 states/eV/cell
- DFT total energy: -1.955 eV per atom
- Size of the total moment: 0.000 μB/cell
- Formation energy from the elements: -0.1637 eV per atom
- Energy above the most stable polymorph in this dataset: 15 meV per atom


Here is a relaxed structure of Tm6Sn2Te3Pb from Alexandria via LeMat-Bulk. Energies are from GGA-PBE.

a = 4.3582 Å, b = 8.7191 Å, c = 9.7505 Å
α = 103.21°, β = 102.91°, γ = 90.00°
Closest atoms and distances in Å follow each position.
Fractional positions:
Tm (0.3352, 0.9064, 0.6704)  2 Sn 3.02, 1 Pb 3.05, 3 Te 3.12-3.15
Tm (0.6704, 0.5745, 0.3407)  3 Sn 3.01-3.02, 3 Te 3.15
Tm (0.6648, 0.0936, 0.3296)  2 Sn 3.02, 1 Pb 3.05, 3 Te 3.12-3.15
Te (0.1663, 0.8332, 0.3326)  6 Tm 3.12-3.15
Te (0.8337, 0.1668, 0.6674)  6 Tm 3.12-3.15
Sn (0.1667, 0.3335, 0.3333)  6 Tm 3.01-3.02
Tm (0.3296, 0.4255, 0.6593)  3 Sn 3.01-3.02, 3 Te 3.15
Sn (0.8333, 0.6665, 0.6667)  6 Tm 3.01-3.02
Pb (0.5000, 0.0000, 0.0000)  6 Tm 3.04-3.05
Tm (0.9963, 0.7553, 0.9926)  1 Sn 3.01, 2 Pb 3.04, 3 Te 3.13-3.14
Tm (0.0037, 0.2447, 0.0074)  1 Sn 3.01, 2 Pb 3.04, 3 Te 3.13-3.14
Te (0.5000, 0.5000, 0.0000)  6 Tm 3.13-3.15

Results
- Space group: C2/m
- Fermi-level density of states: 2.7 states/eV/cell
- DFT total energy: -4.928 eV per atom
- Size of the total moment: 0.000 μB/cell
- Formation energy without anion corrections: -0.9304 eV/atom


Here is a relaxed structure of CaNdGaGe from Alexandria via LeMat-Bulk. Energies are from GGA-PBE.

a = 4.4994 Å, b = 4.1227 Å, c = 5.9820 Å
α = 90.00°, β = 112.09°, γ = 90.00°
Closest atoms and distances in Å follow each position.
Fractional positions:
Ga (0.5747, 0.5000, 0.1494)  2 Ge 2.65
Ca (0.1394, 0.0000, 0.2788)  4 Ga 3.13, 3 Ge 3.16-3.28
Ge (0.4242, 0.0000, 0.8484)  2 Ga 2.65
Nd (0.8617, 0.5000, 0.7234)  4 Ge 3.13, 3 Ga 3.18-3.26

Results
- Space group: Amm2
- Fermi-level density of states: 2.0 states/eV/cell
- DFT total energy: -4.283 eV per atom
- Size of the total moment: 0.000 μB/cell
- Formation energy from the elements: -0.6792 eV per atom
- Energy above the most stable polymorph in this dataset: 0 meV per atom